A plane-wave DFT calculation with PBEsol was carried out for a relaxed InIr2C2 crystal.

Calculated values
* calculated formation energy: 0.69 eV per atom
* uncorrected energy: -7.6939 eV/atom
* crystal system: tetragonal

Unit cell a=3.317 b=3.317 c=12.147 alpha=90.00 beta=90.00 gamma=90.00
Space group I4/mmm (No. 139)
Asymmetric unit:
In (0.000, 0.000, 0.000) x2
Ir (0.000, 0.000, 0.346) x4
C (0.000, 0.500, 0.250) x4